# 1
# PBE-GGA Ca2TlAgBr, relaxed
# E_tot ... -2.4337 eV/atom
data_Ca2TlAgBr
_chemical_formula_sum 'Ca2 Tl1 Ag1 Br1'
_space_group_name_H-M_alt 'P 4/m m m'
_space_group_IT_number 123
_space_group_name_Hall '-P 4 2'
_cell_length_a 6.0277
_cell_length_b 6.0277
_cell_length_c 5.2031
_cell_angle_alpha 90.00
_cell_angle_beta 90.00
_cell_angle_gamma 90.00
loop_
_atom_site_label
_atom_site_type_symbol
_atom_site_fract_x
_atom_site_fract_y
_atom_site_fract_z
Ca1 Ca 0.0000 0.5000 0.0000
Tl1 Tl 0.0000 0.0000 0.0000
Ag1 Ag 0.0000 0.0000 0.5000
Br1 Br 0.5000 0.5000 0.5000


# 2
# PBE-GGA Pm5ErIn8, relaxed
# ΔE_f ... -36 kJ per mole of atoms
data_Pm5ErIn8
_chemical_formula_sum 'Pm10 Er2 In16'
_space_group_name_H-M_alt 'I -4'
_space_group_IT_number 82
_cell_length_a 9.3764
_cell_length_b 9.3764
_cell_length_c 9.2535
_cell_angle_alpha 90.00
_cell_angle_beta 90.00
_cell_angle_gamma 90.00
loop_
_space_group_symop_operation_xyz
'x,y,z'
'y,-x,-z'
'-x,-y,z'
'-y,x,-z'
'x+1/2,y+1/2,z+1/2'
'y+1/2,-x+1/2,-z+1/2'
'-x+1/2,-y+1/2,z+1/2'
'-y+1/2,x+1/2,-z+1/2'
loop_
_atom_site_label
_atom_site_type_symbol
_atom_site_fract_x
_atom_site_fract_y
_atom_site_fract_z
Pm1 Pm 0.0000 0.0000 0.0000
Pm2 Pm 0.1198 0.7529 0.3725
Er1 Er 0.0000 0.5000 0.7500
In1 In 0.0809 0.6649 0.0332
In2 In 0.0862 0.8253 0.7124